[1]
First-principles (GGA-PBE) data for crystalline Nd3Fe5H12 at its relaxed geometry, as listed in Alexandria.

abc: 9.9480 9.9480 9.9480
angles: 109.47 109.47 109.47
Site moments in Bohr magnetons follow the coordinates.
Atoms (fractional coordinates):
Fe (0.1250, 0.7500, 0.3750)  2.41
H (0.6715, 0.4890, 0.5871)  0.00
H (0.0871, 0.1715, 0.4890)  0.00
Nd (0.6250, 0.3750, 0.7500)  -0.16
H (0.6825, 0.0980, 0.0110)  0.00
H (0.6825, 0.5845, 0.1715)  0.00
Fe (0.3750, 0.1250, 0.7500)  2.41
H (0.4020, 0.9890, 0.8175)  0.00
Fe (0.0000, 0.5000, 0.0000)  -0.69
Fe (0.5000, 0.5000, 0.0000)  -0.69
H (0.5871, 0.9890, 0.6715)  0.00
H (0.9890, 0.4020, 0.3175)  0.00
Nd (0.7500, 0.3750, 0.1250)  -0.16
Nd (0.1250, 0.8750, 0.7500)  -0.16
H (0.1825, 0.5110, 0.5980)  0.00
Fe (0.1250, 0.3750, 0.2500)  2.41
H (0.4155, 0.3175, 0.3285)  0.00
H (0.9129, 0.0845, 0.9020)  0.00
H (0.3175, 0.4155, 0.8285)  0.00
Fe (0.2500, 0.8750, 0.1250)  2.41
H (0.5110, 0.1825, 0.0980)  0.00
Fe (0.5000, 0.0000, 0.5000)  -0.69
Fe (0.5000, 0.0000, 0.0000)  -0.69
H (0.9890, 0.5871, 0.1715)  0.00
Nd (0.2500, 0.1250, 0.3750)  -0.16
H (0.1825, 0.6715, 0.0845)  0.00
Fe (0.0000, 0.0000, 0.5000)  -0.69
H (0.1715, 0.0871, 0.9890)  0.00
Fe (0.8750, 0.2500, 0.6250)  2.41
H (0.4890, 0.6715, 0.0871)  0.00
Fe (0.6250, 0.7500, 0.8750)  2.41
H (0.5980, 0.5871, 0.9155)  0.00
Nd (0.6250, 0.2500, 0.3750)  -0.16
H (0.8175, 0.4890, 0.4020)  0.00
H (0.5845, 0.6825, 0.6715)  0.00
H (0.8175, 0.3285, 0.9155)  0.00
Nd (0.3750, 0.6250, 0.2500)  -0.16
H (0.9155, 0.0871, 0.5980)  0.00
H (0.3175, 0.9020, 0.9890)  0.00
Fe (0.7500, 0.6250, 0.3750)  2.41
H (0.0110, 0.4129, 0.8285)  0.00
Fe (0.0000, 0.5000, 0.5000)  -0.69
Nd (0.2500, 0.6250, 0.8750)  -0.16
H (0.9020, 0.3175, 0.4890)  0.00
H (0.3285, 0.5110, 0.4129)  0.00
H (0.8285, 0.9155, 0.3175)  0.00
H (0.9020, 0.5845, 0.9129)  0.00
H (0.0871, 0.9155, 0.0980)  0.00
H (0.5845, 0.9020, 0.4129)  0.00
H (0.0845, 0.1715, 0.1825)  0.00
Fe (0.2500, 0.3750, 0.6250)  2.41
Nd (0.1250, 0.2500, 0.8750)  -0.16
Nd (0.3750, 0.7500, 0.6250)  -0.16
Nd (0.7500, 0.8750, 0.6250)  -0.16
H (0.3285, 0.8175, 0.4155)  0.00
H (0.5980, 0.0110, 0.1825)  0.00
Nd (0.8750, 0.1250, 0.2500)  -0.16
H (0.4129, 0.0110, 0.3285)  0.00
H (0.4129, 0.4020, 0.5845)  0.00
H (0.8285, 0.9129, 0.0110)  0.00
Fe (0.3750, 0.2500, 0.1250)  2.41
H (0.0845, 0.9129, 0.4020)  0.00
H (0.0110, 0.5980, 0.6825)  0.00
H (0.9155, 0.8285, 0.8175)  0.00
H (0.4890, 0.8175, 0.9020)  0.00
H (0.5110, 0.3285, 0.9129)  0.00
H (0.5871, 0.5980, 0.4155)  0.00
H (0.6715, 0.1825, 0.5845)  0.00
H (0.0980, 0.4155, 0.0871)  0.00
Fe (0.7500, 0.1250, 0.8750)  2.41
Fe (0.5000, 0.5000, 0.5000)  -0.69
H (0.4020, 0.4129, 0.0845)  0.00
Fe (0.6250, 0.8750, 0.2500)  2.41
H (0.0980, 0.6825, 0.5110)  0.00
Fe (0.0000, 0.0000, 0.0000)  -0.69
H (0.1715, 0.0845, 0.6825)  0.00
Fe (0.8750, 0.6250, 0.7500)  2.41
H (0.9129, 0.8285, 0.5110)  0.00
H (0.4155, 0.0980, 0.5871)  0.00
Nd (0.8750, 0.7500, 0.1250)  -0.16

Computed properties:
total energy = -4.95 eV/atom
magnetic moment = 0.252 μB per atom

[2]
First-principles (GGA-PBE) data for crystalline K2AlCu at its relaxed geometry, as listed in Alexandria.

abc: 4.2432 4.2432 10.2109
angles: 70.70 70.70 63.19
Atoms (fractional coordinates):
K (0.7307, 0.7307, 0.6466)
Cu (0.1997, 0.1997, 0.3748)
Al (0.5429, 0.5429, 0.3751)
K (0.0267, 0.0267, 0.1036)

Computed properties:
total energy = -2.34 eV/atom
formation energy from the elements = 0.7 eV/f.u.
magnetic moment = 0.000 μB per atom

[3]
First-principles (GGA-PBE) data for crystalline AgPS2N at its relaxed geometry, as listed in Alexandria.

abc: 4.7437 4.7437 3.5359
angles: 90.00 90.00 90.00
Atoms (fractional coordinates):
N (0.0000, 0.0000, 0.0000)
S (0.0000, 0.5000, 0.0000)
Ag (0.5000, 0.5000, 0.5000)
S (0.5000, 0.0000, 0.0000)
P (0.0000, 0.0000, 0.5000)

Computed properties:
total energy = -3.88 eV/atom
ΔE_f (raw) = 1.085 eV/atom
magnetic moment = 0.000 μB per atom
energy above the lowest structure with this stoichiometry = 517 meV/atom

[4]
First-principles (GGA-PBE) data for crystalline Pr12ErTm7 at its relaxed geometry, as listed in Alexandria.

abc: 6.2482 11.5566 11.5566
angles: 116.83 100.38 100.38
Atoms (fractional coordinates):
Pr (0.5009, 0.5880, 0.4124)
Pr (0.0885, 0.5876, 0.1756)
Tm (0.6341, 0.7571, 0.7577)
Pr (0.9344, 0.3520, 0.3514)
Pr (0.0871, 0.1756, 0.5880)
Tm (0.5000, 0.0000, 0.0000)
Er (0.0000, 0.0000, 0.0000)
Pr (0.5830, 0.6486, 0.0006)
Pr (0.9129, 0.8244, 0.4120)
Tm (0.8771, 0.0006, 0.2429)
Tm (0.3659, 0.2429, 0.2423)
Pr (0.4991, 0.4120, 0.5876)
Tm (0.1229, 0.9994, 0.7571)
Pr (0.5824, 0.9994, 0.6480)
Pr (0.4176, 0.0006, 0.3520)
Pr (0.4170, 0.3514, 0.9994)
Pr (0.9115, 0.4124, 0.8244)
Tm (0.8765, 0.2423, 0.9994)
Tm (0.1235, 0.7577, 0.0006)
Pr (0.0656, 0.6480, 0.6486)

Computed properties:
total energy = -4.44 eV/atom
formation energy from the elements = 4.4 eV/f.u.
magnetic moment = 0.000 μB per atom
energy above the lowest structure with this stoichiometry = 0 meV/atom